Entry 1:
15
Lattice="6.399 0.000 0.000 -3.199 5.541 0.000 0.000 0.000 7.851" Properties=species:S:1:pos:R:3 comment="Cs3AcU2O9, relaxed, DFT GGA-PBE" formation_energy_uncorrected_ev_per_atom=-2.81 total_energy_ev_per_atom=-7.736 pbc="T T T"
Cs 0.000 0.000 0.000
Cs 0.000 3.694 5.211
Cs 3.199 1.847 2.639
Ac 0.000 0.000 3.925
U 0.000 3.694 1.225
U 3.199 1.847 6.626
O -1.600 2.771 0.000
O 0.000 2.032 2.419
O -1.440 4.525 2.419
O 1.760 1.016 5.432
O 3.199 0.000 0.000
O 1.600 2.771 0.000
O 1.440 4.525 2.419
O 4.639 1.016 5.432
O 3.199 3.509 5.432

***

Entry 2:
80
Lattice="-8.640 8.640 8.640 8.640 -8.640 8.640 8.640 8.640 -8.640" Properties=species:S:1:pos:R:3 comment="Hg12Te5Se3, relaxed, DFT GGA-PBE" formation_energy_uncorrected_ev_per_atom=0.03 total_energy_ev_per_atom=-1.459 pbc="T T T"
Hg 8.213 -1.540 2.573
Hg 13.388 -1.748 2.780
Hg 2.573 -0.428 1.540
Hg 10.388 5.860 -4.748
Hg 11.213 0.428 1.540
Hg 10.388 -2.780 4.748
Hg 1.540 2.573 -0.428
Hg 11.421 3.893 -1.748
Hg 5.860 4.748 -1.748
Hg 7.101 2.573 0.428
Hg -0.428 1.540 2.573
Hg 4.748 -1.748 5.860
Hg 8.213 7.101 -2.573
Hg 4.748 1.748 2.780
Hg 7.101 -2.573 8.213
Hg 5.860 -4.748 10.388
Hg 2.780 4.748 1.748
Hg 10.180 6.068 0.428
Hg 2.573 8.213 -1.540
Hg 10.388 2.780 3.893
Hg 1.748 2.780 4.748
Hg 2.573 0.428 7.101
Hg 4.748 10.388 -2.780
Hg 8.213 1.540 6.068
Hg 0.428 7.101 2.573
Hg 3.893 -1.748 11.421
Hg 6.068 8.213 1.540
Hg 6.893 5.860 3.893
Hg -1.748 5.860 4.748
Hg 6.068 0.428 10.180
Hg -1.540 2.573 8.213
Hg 5.860 3.893 6.893
Hg 2.780 13.388 -1.748
Hg 1.540 11.213 0.428
Hg 3.893 6.893 5.860
Hg 0.428 1.540 11.213
Hg 3.893 10.388 2.780
Hg 9.068 7.101 6.068
Hg 1.540 6.068 8.213
Hg 2.780 3.893 10.388
Hg -2.780 4.748 10.388
Hg 7.101 6.068 9.068
Hg -1.748 11.421 3.893
Hg -2.573 8.213 7.101
Hg -1.748 2.780 13.388
Hg 6.068 9.068 7.101
Hg -4.748 10.388 5.860
Hg 0.428 10.180 6.068
Te 0.000 0.000 0.000
Te 4.320 4.320 -4.320
Te 4.320 -4.320 4.320
Te 8.640 0.000 0.000
Te 12.960 2.160 0.000
Te 8.640 -4.320 6.480
Te 6.480 8.640 -4.320
Te 6.480 0.000 4.320
Te 4.320 6.480 0.000
Te 8.640 4.320 2.160
Te -4.320 4.320 4.320
Te 0.000 8.640 0.000
Te 0.000 0.000 8.640
Te 4.320 4.320 4.320
Te 0.000 4.320 6.480
Te 4.320 2.160 8.640
Te 2.160 8.640 4.320
Te 2.160 0.000 12.960
Te 0.000 12.960 2.160
Te -4.320 6.480 8.640
Se 4.320 2.160 0.000
Se 8.640 4.320 -2.160
Se 2.160 0.000 4.320
Se 10.800 0.000 4.320
Se 0.000 4.320 2.160
Se 4.320 -2.160 8.640
Se 4.320 10.800 0.000
Se 8.640 4.320 6.480
Se -2.160 8.640 4.320
Se 6.480 8.640 4.320
Se 0.000 4.320 10.800
Se 4.320 6.480 8.640

***

Entry 3:
5
Lattice="4.664 0.000 0.000 0.000 4.664 0.000 0.000 0.000 4.001" Properties=species:S:1:pos:R:3 comment="Zr2CdTcC, relaxed, DFT GGA-PBE" de_polymorph_ev_per_atom=0.000 total_energy_ev_per_atom=-7.835 pbc="T T T"
Zr 0.000 2.332 0.000
Zr 2.332 0.000 0.000
Cd 0.000 0.000 2.001
Tc 2.332 2.332 2.001
C 2.332 2.332 0.000

***

Entry 4:
9
Lattice="7.161 -1.917 0.000 7.161 1.917 0.000 -3.623 0.000 6.443" Properties=species:S:1:pos:R:3 comment="Li2ZrCu2Se4, relaxed, DFT GGA-PBE" formation_energy_uncorrected_ev_per_atom=-0.91 total_energy_ev_per_atom=-4.741 pbc="T T T"
Li 2.058 0.000 0.161
Li 8.641 0.000 6.282
Zr -1.811 0.000 3.222
Cu 2.719 0.000 3.318
Cu 7.980 0.000 3.125
Se 0.546 0.000 4.676
Se 6.215 0.000 1.490
Se 4.484 0.000 4.954
Se 10.152 0.000 1.767